a:
Compound: LaHo8Er2
Source: the Alexandria database
Functional: GGA-PBE
Structure: relaxed

Unit cell a=6.671 b=9.040 c=9.040 alpha=42.50 beta=103.60 gamma=103.60
Element x y z (fractional)
Ho: 0.376 0.211 0.211
Ho: 0.624 0.789 0.789
Ho: 0.676 0.355 0.836
Ho: 0.789 0.426 0.426
Ho: 0.324 0.645 0.164
Ho: 0.211 0.574 0.574
Ho: 0.324 0.164 0.645
Ho: 0.676 0.836 0.355
Er: 0.919 0.255 0.255
Er: 0.081 0.745 0.745
La: 0.000 0.000 0.000

Magnetization = 0.000 μB per atom
Density = 8.4 g/cm3

***

b:
Compound: LaHo8Er2
Source: the Alexandria database
Functional: GGA-PBE
Structure: relaxed

Unit cell a=5.468 b=8.130 c=9.334 alpha=115.80 beta=107.03 gamma=90.00
Element x y z (fractional)
Ho: 0.358 0.152 0.717
Ho: 0.000 0.297 0.000
Ho: 0.641 0.436 0.283
Ho: 0.000 0.703 0.000
Ho: 0.642 0.848 0.283
Ho: 0.164 0.164 0.328
Ho: 0.836 0.836 0.672
Ho: 0.359 0.564 0.717
Er: 0.199 0.699 0.398
Er: 0.801 0.301 0.602
La: 0.500 0.000 0.000

Magnetization = 0.000 μB per atom
Density = 8.4 g/cm3

***

It is b that is most stable; the runner-up trails by 59 meV per atom.